The following is a GGA-PBEsol calculation of crystalline LiNiIr2 at its relaxed geometry, from Alexandria via LeMat-Bulk.

```
LiNiIr2
1.0
2.637 0.000 0.000
0.000 3.786 0.000
0.000 0.000 5.050
Li Ni Ir
1 1 2
direct
0.000 0.000 0.000
0.500 0.500 0.226
0.000 0.000 0.492
0.500 0.500 0.730
```

Properties
Formation energy, meV per atom: -2
Final energy, eV per formula unit: -27.8
Energy relative to the lowest polymorph listed for this composition, meV/atom: 40
V, Å³/cell: 50.4

=====

The following is a GGA-PBEsol calculation of crystalline InOs2Au at its relaxed geometry, from Alexandria via LeMat-Bulk.

```
InOs2Au
1.0
2.887 0.000 0.000
0.000 4.091 0.000
0.000 0.000 5.467
In Os Au
1 2 1
direct
0.000 0.000 0.000
0.500 0.500 0.234
0.500 0.500 0.766
0.000 0.000 0.500
```

Properties
Formation energy, meV per atom: 763
Final energy, eV per formula unit: -28.3
V, Å³/cell: 64.6

=====

The following is a GGA-PBEsol calculation of crystalline ZnSe2Br at its relaxed geometry, from Alexandria via LeMat-Bulk.

```
ZnSe2Br
1.0
3.129 0.000 0.000
-1.565 2.710 0.000
0.000 0.000 31.430
Zn Se Br
3 6 3
direct
0.000 0.000 0.000
0.333 0.667 0.667
0.667 0.333 0.333
0.000 0.000 0.275
0.000 0.000 0.725
0.333 0.667 0.392
0.333 0.667 0.941
0.667 0.333 0.059
0.667 0.333 0.608
0.000 0.000 0.500
0.333 0.667 0.167
0.667 0.333 0.833
```

Properties
Formation energy (no corrections), eV per atom: 0.09
Final energy, eV per formula unit: -10.8
Energy relative to the lowest polymorph listed for this composition, meV/atom: 101
V, Å³/cell: 266.6

=====

The following is a GGA-PBEsol calculation of crystalline LaZnI2O at its relaxed geometry, from Alexandria via LeMat-Bulk.

```
LaZnI2O
1.0
6.392 0.000 0.000
0.000 6.392 0.000
0.000 0.000 4.250
La Zn I O
1 1 2 1
direct
0.000 0.000 0.000
0.500 0.500 0.500
0.000 0.500 0.000
0.500 0.000 0.000
0.000 0.000 0.500
```

Properties
Formation energy (no corrections), eV per atom: -1.08
Final energy, eV per formula unit: -21.1
V, Å³/cell: 173.6

=====

The following is a GGA-PBEsol calculation of crystalline BeInCl2 at its relaxed geometry, from Alexandria via LeMat-Bulk.

```
BeInCl2
1.0
3.959 0.000 0.000
0.000 3.959 0.000
0.000 0.000 11.288
Be In Cl
2 2 4
direct
0.000 0.000 0.000
0.500 0.500 0.500
0.000 0.500 0.750
0.500 0.000 0.250
0.000 0.000 0.500
0.000 0.500 0.250
0.500 0.000 0.750
0.500 0.500 0.000
```

Properties
Formation energy (no corrections), eV per atom: 0.10
Final energy, eV per formula unit: -10.6
Energy relative to the lowest polymorph listed for this composition, meV/atom: 862
V, Å³/cell: 176.9

=====

The following is a GGA-PBEsol calculation of crystalline Na2TcAgF at its relaxed geometry, from Alexandria via LeMat-Bulk.

```
Na2TcAgF
1.0
5.850 0.000 0.000
0.000 5.850 0.000
0.000 0.000 4.952
Na Tc Ag F
2 1 1 1
direct
0.000 0.500 0.000
0.500 0.000 0.000
0.000 0.000 0.000
0.000 0.000 0.500
0.500 0.500 0.500
```

Properties
Formation energy (no corrections), eV per atom: 0.90
Final energy, eV per formula unit: -14.8
V, Å³/cell: 169.5

=====

The following is a GGA-PBEsol calculation of crystalline TmBiTe3 at its relaxed geometry, from Alexandria via LeMat-Bulk.

```
TmBiTe3
1.0
4.291 0.000 0.000
-2.146 3.716 0.000
0.000 0.000 30.739
Tm Bi Te
3 3 9
direct
0.000 0.000 0.000
0.333 0.667 0.667
0.667 0.333 0.333
0.000 0.000 0.202
0.333 0.667 0.868
0.667 0.333 0.535
0.000 0.000 0.386
0.000 0.000 0.606
0.000 0.000 0.812
0.333 0.667 0.052
0.333 0.667 0.273
0.333 0.667 0.479
0.667 0.333 0.146
0.667 0.333 0.719
0.667 0.333 0.939
```

Properties
Formation energy (no corrections), eV per atom: -0.76
Final energy, eV per formula unit: -23.6
V, Å³/cell: 490.2

=====

The following is a GGA-PBEsol calculation of crystalline ScCu2Pb at its relaxed geometry, from Alexandria via LeMat-Bulk.

```
ScCu2Pb
1.0
4.603 0.000 0.000
0.000 4.603 0.000
0.000 0.000 6.426
Sc Cu Pb
2 4 2
direct
0.000 0.000 0.000
0.500 0.500 0.500
0.000 0.000 0.500
0.000 0.500 0.750
0.500 0.000 0.250
0.500 0.500 0.000
0.000 0.500 0.250
0.500 0.000 0.750
```

Properties
Formation energy, meV per atom: -37
Final energy, eV per formula unit: -19.4
V, Å³/cell: 136.1